This record from the Alexandria database describes crystalline ScAsW at its relaxed geometry. The functional is GGA-PBEsol.

Values from the calculation:
Its magnetic moment is 0.000 μB per formula unit. The value obtained for the energy above the most stable polymorph in this dataset is 0.0878 eV per atom. For the electronic total energy, the calculation gives -8.558 eV/atom. The calculated density comes out at 9.8 g/cm³. The density of states at the Fermi level is 2.26 states/eV/f.u. Its formation energy is -5 kJ per mole of atoms.

Cell: 3.416 4.846 12.392 Å, 90.00 90.00 90.00°
Space group Fmm2 (No. 42)
Inequivalent atoms, fractional coordinates:
Sc1 0.000 0.000 0.000 x4
As1 0.000 0.000 0.332 x4
W1 0.000 0.000 0.680 x4

***

This record from the Alexandria database describes crystalline ScAs2W at its relaxed geometry. The functional is GGA-PBEsol.

Values from the calculation:
Its magnetic moment is 0.000 μB per formula unit. For the electronic total energy, the calculation gives -7.712 eV/atom. The calculated density comes out at 8.3 g/cm³. The density of states at the Fermi level is 2.63 states/eV/f.u. Its formation energy is -5 kJ per mole of atoms.

Cell: 3.466 4.564 9.579 Å, 90.00 90.00 90.00°
Space group Cmm2 (No. 35)
Inequivalent atoms, fractional coordinates:
Sc1 0.000 0.000 0.000 x2
As1 0.000 0.000 0.436 x2
As2 0.000 0.500 0.777 x2
W1 0.000 0.500 0.237 x2

***

This record from the Alexandria database describes crystalline Sc2AsW at its relaxed geometry. The functional is GGA-PBEsol.

Values from the calculation:
Its magnetic moment is 0.709 μB per formula unit. For the electronic total energy, the calculation gives -7.976 eV/atom. The calculated density comes out at 8.6 g/cm³. The density of states at the Fermi level is 6.32 states/eV/f.u. Its formation energy is 5 kJ per mole of atoms.

Cell: 6.468 6.468 6.468 Å, 90.00 90.00 90.00°
Space group F-43m (No. 216)
Inequivalent atoms, fractional coordinates:
Sc1 0.000 0.000 0.000 x4
Sc2 0.250 0.250 0.250 x4
As1 0.250 0.250 0.750 x4
W1 0.000 0.000 0.500 x4

***

Copy entry 1 word for word.
This record from the Alexandria database describes crystalline ScAsW at its relaxed geometry. The functional is GGA-PBEsol.

Values from the calculation:
Its magnetic moment is 0.000 μB per formula unit. The value obtained for the energy above the most stable polymorph in this dataset is 0.0878 eV per atom. For the electronic total energy, the calculation gives -8.558 eV/atom. The calculated density comes out at 9.8 g/cm³. The density of states at the Fermi level is 2.26 states/eV/f.u. Its formation energy is -5 kJ per mole of atoms.

Cell: 3.416 4.846 12.392 Å, 90.00 90.00 90.00°
Space group Fmm2 (No. 42)
Inequivalent atoms, fractional coordinates:
Sc1 0.000 0.000 0.000 x4
As1 0.000 0.000 0.332 x4
W1 0.000 0.000 0.680 x4

***

- Which value of magnetic moment does entry 1 give?
  0.000 μB per formula unit

***

Please write out number 3 again, unchanged.
This record from the Alexandria database describes crystalline Sc2AsW at its relaxed geometry. The functional is GGA-PBEsol.

Values from the calculation:
Its magnetic moment is 0.709 μB per formula unit. For the electronic total energy, the calculation gives -7.976 eV/atom. The calculated density comes out at 8.6 g/cm³. The density of states at the Fermi level is 6.32 states/eV/f.u. Its formation energy is 5 kJ per mole of atoms.

Cell: 6.468 6.468 6.468 Å, 90.00 90.00 90.00°
Space group F-43m (No. 216)
Inequivalent atoms, fractional coordinates:
Sc1 0.000 0.000 0.000 x4
Sc2 0.250 0.250 0.250 x4
As1 0.250 0.250 0.750 x4
W1 0.000 0.000 0.500 x4

***

Please write out number 2 again, unchanged.
This record from the Alexandria database describes crystalline ScAs2W at its relaxed geometry. The functional is GGA-PBEsol.

Values from the calculation:
Its magnetic moment is 0.000 μB per formula unit. For the electronic total energy, the calculation gives -7.712 eV/atom. The calculated density comes out at 8.3 g/cm³. The density of states at the Fermi level is 2.63 states/eV/f.u. Its formation energy is -5 kJ per mole of atoms.

Cell: 3.466 4.564 9.579 Å, 90.00 90.00 90.00°
Space group Cmm2 (No. 35)
Inequivalent atoms, fractional coordinates:
Sc1 0.000 0.000 0.000 x2
As1 0.000 0.000 0.436 x2
As2 0.000 0.500 0.777 x2
W1 0.000 0.500 0.237 x2